Below is an optimized crystal structure of Ga12Cu3Hg5, with properties calculated at the PBE level.

## Properties
E_form: 151 meV per atom
SG: Ia-3d

Geometry as POSCAR:
```
Ga12Cu3Hg5
1.0
-7.688 7.688 7.688
7.688 -7.688 7.688
7.688 7.688 -7.688
Ga Cu Hg
48 12 20
direct
0.060 0.640 0.396
0.060 0.920 0.663
0.080 0.243 0.140
0.080 0.337 0.940
0.104 0.743 0.663
0.104 0.860 0.440
0.140 0.080 0.243
0.140 0.560 0.896
0.163 0.243 0.604
0.163 0.420 0.560
0.243 0.140 0.080
0.243 0.604 0.163
0.257 0.337 0.896
0.257 0.420 0.360
0.337 0.896 0.257
0.337 0.940 0.080
0.360 0.257 0.420
0.360 0.604 0.940
0.396 0.060 0.640
0.396 0.837 0.757
0.420 0.360 0.257
0.420 0.560 0.163
0.440 0.104 0.860
0.440 0.837 0.580
0.560 0.163 0.420
0.560 0.896 0.140
0.580 0.440 0.837
0.580 0.640 0.743
0.604 0.163 0.243
0.604 0.940 0.360
0.640 0.396 0.060
0.640 0.743 0.580
0.663 0.060 0.920
0.663 0.104 0.743
0.743 0.580 0.640
0.743 0.663 0.104
0.757 0.396 0.837
0.757 0.860 0.920
0.837 0.580 0.440
0.837 0.757 0.396
0.860 0.440 0.104
0.860 0.920 0.757
0.896 0.140 0.560
0.896 0.257 0.337
0.920 0.663 0.060
0.920 0.757 0.860
0.940 0.080 0.337
0.940 0.360 0.604
0.125 0.250 0.375
0.125 0.375 0.750
0.250 0.375 0.125
0.250 0.875 0.625
0.375 0.125 0.250
0.375 0.750 0.125
0.625 0.250 0.875
0.625 0.875 0.750
0.750 0.125 0.375
0.750 0.625 0.875
0.875 0.625 0.250
0.875 0.750 0.625
0.000 0.000 0.000
0.000 0.000 0.500
0.000 0.500 0.000
0.000 0.500 0.500
0.125 0.750 0.875
0.125 0.875 0.250
0.250 0.125 0.875
0.250 0.625 0.375
0.375 0.250 0.625
0.375 0.625 0.750
0.500 0.000 0.000
0.500 0.000 0.500
0.500 0.500 0.000
0.500 0.500 0.500
0.625 0.375 0.250
0.625 0.750 0.375
0.750 0.375 0.625
0.750 0.875 0.125
0.875 0.125 0.750
0.875 0.250 0.125
```

---

Below is an optimized crystal structure of GaCuHg, with properties calculated at the PBE level.

## Properties
distance to the lowest polymorph of the same formula: 0.00 eV/f.u.
E_form: 109 meV per atom
SG: F-43m

Geometry as POSCAR:
```
GaCuHg
1.0
0.000 3.071 3.071
3.071 0.000 3.071
3.071 3.071 0.000
Ga Cu Hg
1 1 1
direct
0.000 0.000 0.000
0.750 0.750 0.750
0.500 0.500 0.500
```

---

Below is an optimized crystal structure of Ga3CuHg, with properties calculated at the PBE level.

## Properties
distance to the lowest polymorph of the same formula: 0.00 eV/f.u.
E_form: 114 meV per atom
SG: Pm-3m

Geometry as POSCAR:
```
Ga3CuHg
1.0
4.778 0.000 0.000
0.000 4.778 0.000
0.000 0.000 4.778
Ga Cu Hg
3 1 1
direct
0.000 0.000 0.500
0.000 0.500 0.000
0.500 0.000 0.000
0.000 0.000 0.000
0.500 0.500 0.500
```

---

Below is an optimized crystal structure of GaCuHg, with properties calculated at the PBE level.

## Properties
distance to the lowest polymorph of the same formula: 0.02 eV/f.u.
E_form: 116 meV per atom
SG: I4mm

Geometry as POSCAR:
```
GaCuHg
1.0
-1.536 1.536 5.727
1.536 -1.536 5.727
1.536 1.536 -5.727
Ga Cu Hg
1 1 1
direct
0.000 0.000 0.000
0.373 0.373 0.000
0.706 0.706 0.000
```

---

Size of the total moment (μB/f.u.)
0.00 0.00 0.00 0.00